A relaxed Ni2Ag4F9 crystal. Source: Alexandria, functional PBE with a Hubbard U.

Lattice parameters (Å, degrees): 5.8070 5.8133 15.3474 95.79 90.05 60.00
Each line ends with the local moment (μB).
Atoms (fractional coordinates):
F  0.7109  0.9876  0.0954  0.08
F  0.7335  0.9999  0.7498  0.05
F  0.7407  0.2671  0.2552  0.08
F  0.3014  0.9877  0.5954  0.08
F  0.6938  0.3250  0.9199  0.05
F  0.2891  0.0124  0.9046  0.08
F  0.6900  0.2715  0.6012  0.06
F  0.2665  0.0001  0.2502  0.05
F  0.9812  0.3249  0.4201  0.05
F  0.9920  0.2670  0.7551  0.08
F  0.3100  0.7285  0.3988  0.06
F  0.0188  0.6751  0.5799  0.05
F  0.9616  0.7287  0.8986  0.06
F  0.0080  0.7330  0.2449  0.08
F  0.2593  0.7329  0.7448  0.08
F  0.0384  0.2713  0.1014  0.06
F  0.6986  0.0123  0.4046  0.08
F  0.3062  0.6750  0.0801  0.05
Ni  0.0183  0.9868  0.1563  1.83
Ni  0.9948  0.9869  0.6562  1.83
Ni  0.0052  0.0131  0.3438  1.83
Ni  0.9817  0.0132  0.8437  1.83
Ag  0.3198  0.3217  0.6845  0.20
Ag  0.6802  0.6783  0.3155  0.20
Ag  0.6417  0.6788  0.8153  0.21
Ag  0.3489  0.3669  0.4792  0.14
Ag  0.7159  0.6328  0.0208  0.14
Ag  0.6511  0.6331  0.5208  0.14
Ag  0.2841  0.3672  0.9792  0.14
Ag  0.3583  0.3212  0.1847  0.21

* VASP energy: -3.688 eV per atom
* crystal system: triclinic

=====

A relaxed NiAg2F8 crystal. Source: Alexandria, functional PBE with a Hubbard U.

Lattice parameters (Å, degrees): 4.2042 6.4446 6.4453 120.03 90.00 90.00
Each line ends with the local moment (μB).
Atoms (fractional coordinates):
F  0.2392  0.7303  0.8637  -0.02
F  0.7608  0.8664  0.7303  -0.02
F  0.6953  0.3331  0.6668  -0.03
F  0.2392  0.1336  0.2697  -0.02
F  0.7608  0.8639  0.1334  -0.02
F  0.7608  0.2697  0.1363  -0.02
F  0.2391  0.1362  0.8666  -0.02
F  0.3047  0.6669  0.3332  -0.03
Ni  0.0000  0.0000  0.0000  0.03
Ag  0.8074  0.6668  0.3332  -0.09
Ag  0.1926  0.3332  0.6667  -0.09

* VASP energy: -3.265 eV per atom
* crystal system: trigonal

=====

A relaxed NiAg2F crystal. Source: Alexandria, functional PBE with a Hubbard U.

Lattice parameters (Å, degrees): 6.8253 6.8253 5.5852 52.34 52.34 90.00
Each line ends with the local moment (μB).
Atoms (fractional coordinates):
F  0.5000  0.5000  0.0000  -0.01
F  0.2500  0.7500  0.5000  -0.01
Ag  0.8750  0.8402  0.7500  0.00
Ag  0.5902  0.1250  0.2500  0.00
Ag  0.1598  0.6250  0.2500  0.00
Ag  0.3750  0.4098  0.7500  0.00
Ni  0.7500  0.2500  0.5000  0.97
Ni  0.0000  0.0000  0.0000  0.97

* crystal system: tetragonal
* offset from the most stable computed form: 0 meV per atom

=====

A relaxed NiAg2F5 crystal. Source: Alexandria, functional PBE with a Hubbard U.

Lattice parameters (Å, degrees): 6.7996 6.3606 9.6276 90.00 90.00 90.00
Each line ends with the local moment (μB).
Atoms (fractional coordinates):
Ag  0.9934  0.5000  0.3252  0.29
Ag  0.9934  0.0000  0.3252  0.29
Ag  0.5066  0.5000  0.8252  0.29
Ag  0.0066  0.5000  0.6748  0.29
Ag  0.0066  0.0000  0.6748  0.29
Ag  0.5066  0.0000  0.8252  0.29
Ag  0.4934  0.5000  0.1748  0.29
Ag  0.4934  0.0000  0.1748  0.29
F  0.0003  0.7500  0.4997  0.16
F  0.6494  0.0002  0.4177  0.06
F  0.1494  0.5002  0.0823  0.06
F  0.3506  0.9998  0.5823  0.06
F  0.8506  0.0002  0.9177  0.06
F  0.6544  0.2500  0.6810  0.10
F  0.8456  0.2500  0.1810  0.10
F  0.5003  0.2500  0.0003  0.16
F  0.1544  0.7500  0.8190  0.10
F  0.8506  0.4998  0.9177  0.06
F  0.3506  0.5002  0.5823  0.06
F  0.6555  0.7500  0.6808  0.10
F  0.9997  0.2500  0.5003  0.16
F  0.4997  0.7500  0.9997  0.16
F  0.3445  0.2500  0.3192  0.10
F  0.3456  0.7500  0.3190  0.10
F  0.1494  0.9998  0.0823  0.06
F  0.6494  0.4998  0.4177  0.06
F  0.8445  0.7500  0.1808  0.10
F  0.1555  0.2500  0.8192  0.10
Ni  0.4997  0.2500  0.5000  1.83
Ni  0.0003  0.2500  0.0000  1.83
Ni  0.9997  0.7500  0.0000  1.83
Ni  0.5003  0.7500  0.5000  1.83

* VASP energy: -3.654 eV per atom
* crystal system: orthorhombic

=====

A relaxed Ni3AgF crystal. Source: Alexandria, functional PBE with a Hubbard U.

Lattice parameters (Å, degrees): 4.8205 4.8205 4.8205 90.00 90.00 90.00
Each line ends with the local moment (μB).
Atoms (fractional coordinates):
Ag  0.0000  0.0000  0.0000  0.03
Ni  0.5000  0.0000  0.0000  1.01
Ni  0.0000  0.0000  0.5000  0.97
Ni  0.0000  0.5000  0.0000  0.98
F  0.5000  0.5000  0.5000  0.01

* crystal system: cubic
* offset from the most stable computed form: 978 meV per atom

=====

A relaxed NiAg2F crystal. Source: Alexandria, functional PBE with a Hubbard U.

Lattice parameters (Å, degrees): 4.3532 4.3532 4.3532 60.00 60.00 60.00
Each line ends with the local moment (μB).
Atoms (fractional coordinates):
Ag  0.2500  0.2500  0.2500  -0.01
Ag  0.7500  0.7500  0.7500  -0.01
Ni  0.5000  0.5000  0.5000  0.94
F  0.0000  0.0000  0.0000  -0.04

* crystal system: cubic
* offset from the most stable computed form: 202 meV per atom